# Co3SeO5

Co3SeO5 after structural relaxation (PBE+U, the Open Quantum Materials Database).

Values from the calculation:
Calculated total energy: -5.529 eV/atom
Magnetization: 18.000 μB/cell
Symmetry: Cmc2_1 (36)

POSCAR file:
```
Co3SeO5
1.0
5.0939 -4.5118 0.0000
5.0939 4.5118 0.0000
0.0000 0.0000 5.2466
Co Se O
6 2 10
Direct
0.0256 0.9744 0.5000
0.1888 0.3206 0.4378
0.3206 0.1888 0.9378
0.6794 0.8112 0.4378
0.8112 0.6794 0.9378
0.9744 0.0256 0.0000
0.3717 0.6283 0.9239
0.6283 0.3717 0.4239
0.0809 0.2069 0.7324
0.1951 0.8049 0.8117
0.2069 0.0809 0.2324
0.2492 0.4743 0.1238
0.4743 0.2492 0.6238
0.5257 0.7508 0.1238
0.7508 0.5257 0.6238
0.7931 0.9191 0.7324
0.8049 0.1951 0.3117
0.9191 0.7931 0.2324
```